This record from Alexandria describes a relaxed TcMo2O6 crystal. The functional is PBE+U.

Unit cell a=4.7320 b=4.7320 c=9.6251 alpha=90.00 beta=90.00 gamma=90.00
With the nearest neighbours (Å) after each atom.
Fractional positions:
Tc 0.0000 0.0000 0.0000  6 O 2.01-2.04
Tc 0.5000 0.5000 0.5000  6 O 2.01-2.04
Mo 0.0000 0.0000 0.3342  6 O 2.04-2.11
Mo 0.0000 0.0000 0.6658  6 O 2.04-2.11
Mo 0.5000 0.5000 0.1658  6 O 2.04-2.11
Mo 0.5000 0.5000 0.8342  6 O 2.04-2.11
O 0.1953 0.1953 0.1628  2 Mo 2.04-2.11, 1 Tc 2.04
O 0.1953 0.1953 0.8372  2 Mo 2.04-2.11, 1 Tc 2.04
O 0.2000 0.2000 0.5000  1 Tc 2.01, 2 Mo 2.08
O 0.3000 0.7000 0.0000  1 Tc 2.01, 2 Mo 2.08
O 0.3047 0.6953 0.3372  2 Mo 2.04-2.11, 1 Tc 2.04
O 0.3047 0.6953 0.6628  2 Mo 2.04-2.11, 1 Tc 2.04
O 0.6953 0.3047 0.3372  2 Mo 2.04-2.11, 1 Tc 2.04
O 0.6953 0.3047 0.6628  2 Mo 2.04-2.11, 1 Tc 2.04
O 0.7000 0.3000 0.0000  1 Tc 2.01, 2 Mo 2.08
O 0.8000 0.8000 0.5000  1 Tc 2.01, 2 Mo 2.08
O 0.8047 0.8047 0.1628  2 Mo 2.04-2.11, 1 Tc 2.04
O 0.8047 0.8047 0.8372  2 Mo 2.04-2.11, 1 Tc 2.04

Fermi-level density of states = 0.060 states/eV per atom
Total energy = -136.96 eV for the cell shown